Entry 1:
An optimized crystal structure of GaAg3Sn. Source: the Alexandria database, functional GGA-PBE.

a b c (Å): 4.909 4.909 4.909
angles (deg): 90.00 90.00 90.00
Fractional positions:
Ga (0.000, 0.000, 0.000)
Ag (0.000, 0.000, 0.500)
Ag (0.000, 0.500, 0.000)
Ag (0.500, 0.000, 0.000)
Sn (0.500, 0.500, 0.500)

As for the polymorph energy (0 for the lowest one): 321 meV/atom. The volume is 23.7 Å³ per atom. The magnetization is 0.0 μB per formula unit. For the total energy, the calculation gives -2.768 eV/atom. The space-group type is Pm-3m.

---

Entry 2:
An optimized crystal structure of Ga4AgSn. Source: the Alexandria database, functional GGA-PBE.

a b c (Å): 7.177 4.986 7.247
angles (deg): 90.00 91.79 90.00
Fractional positions:
Ga (0.132, 0.000, 0.346)
Ga (0.153, 0.500, 0.118)
Ga (0.347, 0.000, 0.882)
Ga (0.368, 0.500, 0.654)
Ga (0.632, 0.500, 0.346)
Ga (0.653, 0.000, 0.118)
Ga (0.847, 0.500, 0.882)
Ga (0.868, 0.000, 0.654)
Ag (0.000, 0.000, 0.000)
Ag (0.500, 0.500, 0.000)
Sn (0.000, 0.500, 0.500)
Sn (0.500, 0.000, 0.500)

As for the polymorph energy (0 for the lowest one): 0 meV/atom. The volume is 21.6 Å³ per atom. The magnetization is 0.0 μB per formula unit. For the total energy, the calculation gives -3.097 eV/atom. The space-group type is C2/m.

---

Entry 3:
An optimized crystal structure of Ga2AgSn. Source: the Alexandria database, functional GGA-PBE.

a b c (Å): 3.451 3.451 7.037
angles (deg): 90.00 90.00 90.00
Fractional positions:
Ga (0.000, 0.000, 0.215)
Ga (0.000, 0.000, 0.785)
Ag (0.500, 0.500, 0.000)
Sn (0.500, 0.500, 0.500)

The volume is 21.0 Å³ per atom. The magnetization is 0.0 μB per formula unit. For the total energy, the calculation gives -3.167 eV/atom. The space-group type is P4/mmm.

---

Entry 4:
An optimized crystal structure of Ga2AgSn. Source: the Alexandria database, functional GGA-PBE.

a b c (Å): 4.330 8.204 5.093
angles (deg): 90.00 109.56 90.00
Fractional positions:
Ga (0.177, 0.036, 0.268)
Ga (0.177, 0.464, 0.268)
Ga (0.823, 0.536, 0.732)
Ga (0.823, 0.964, 0.732)
Ag (0.251, 0.750, 0.606)
Ag (0.749, 0.250, 0.394)
Sn (0.397, 0.250, 0.809)
Sn (0.603, 0.750, 0.191)

The volume is 21.3 Å³ per atom. The magnetization is 0.0 μB per formula unit. For the total energy, the calculation gives -3.169 eV/atom. The space-group type is P2_1/m.

---

Entry 5:
An optimized crystal structure of Ga3Ag12Sn. Source: the Alexandria database, functional GGA-PBE.

a b c (Å): 4.173 4.173 16.552
angles (deg): 90.00 90.00 90.00
Fractional positions:
Ga (0.000, 0.000, 0.000)
Ga (0.000, 0.000, 0.246)
Ga (0.000, 0.000, 0.754)
Ag (0.000, 0.500, 0.122)
Ag (0.000, 0.500, 0.368)
Ag (0.000, 0.500, 0.632)
Ag (0.000, 0.500, 0.878)
Ag (0.500, 0.000, 0.122)
Ag (0.500, 0.000, 0.368)
Ag (0.500, 0.000, 0.632)
Ag (0.500, 0.000, 0.878)
Ag (0.500, 0.500, 0.000)
Ag (0.500, 0.500, 0.245)
Ag (0.500, 0.500, 0.500)
Ag (0.500, 0.500, 0.755)
Sn (0.000, 0.000, 0.500)

The volume is 18.0 Å³ per atom. The magnetization is 0.0 μB per formula unit. For the total energy, the calculation gives -2.940 eV/atom. The space-group type is P4/mmm.

---

Entry 6:
An optimized crystal structure of GaAg2Sn. Source: the Alexandria database, functional GGA-PBE.

a b c (Å): 6.899 6.899 6.899
angles (deg): 90.00 90.00 90.00
Fractional positions:
Ga (0.000, 0.000, 0.000)
Ga (0.000, 0.500, 0.500)
Ga (0.500, 0.000, 0.500)
Ga (0.500, 0.500, 0.000)
Ag (0.250, 0.250, 0.250)
Ag (0.250, 0.250, 0.750)
Ag (0.250, 0.750, 0.250)
Ag (0.250, 0.750, 0.750)
Ag (0.750, 0.250, 0.250)
Ag (0.750, 0.250, 0.750)
Ag (0.750, 0.750, 0.250)
Ag (0.750, 0.750, 0.750)
Sn (0.000, 0.000, 0.500)
Sn (0.000, 0.500, 0.000)
Sn (0.500, 0.000, 0.000)
Sn (0.500, 0.500, 0.500)

As for the polymorph energy (0 for the lowest one): 62 meV/atom. The volume is 20.5 Å³ per atom. The magnetization is 0.0 μB per formula unit. For the total energy, the calculation gives -3.094 eV/atom. The space-group type is Fm-3m.

---

Entry 7:
An optimized crystal structure of Ga2AgSn. Source: the Alexandria database, functional GGA-PBE.

a b c (Å): 4.521 4.521 14.541
angles (deg): 90.00 90.00 120.00
Fractional positions:
Ga (0.000, 0.000, 0.232)
Ga (0.000, 0.000, 0.768)
Ga (0.333, 0.667, 0.434)
Ga (0.333, 0.667, 0.899)
Ga (0.667, 0.333, 0.101)
Ga (0.667, 0.333, 0.566)
Ag (0.000, 0.000, 0.500)
Ag (0.333, 0.667, 0.167)
Ag (0.667, 0.333, 0.833)
Sn (0.000, 0.000, 0.000)
Sn (0.333, 0.667, 0.667)
Sn (0.667, 0.333, 0.333)

The volume is 21.5 Å³ per atom. The magnetization is 0.0 μB per formula unit. For the total energy, the calculation gives -3.129 eV/atom. The space-group type is R-3m.

---

Entry 8:
An optimized crystal structure of GaAg2Sn. Source: the Alexandria database, functional GGA-PBE.

a b c (Å): 4.494 4.494 14.702
angles (deg): 90.00 90.00 120.00
Fractional positions:
Ga (0.000, 0.000, 0.000)
Ga (0.333, 0.667, 0.667)
Ga (0.667, 0.333, 0.333)
Ag (0.000, 0.000, 0.412)
Ag (0.000, 0.000, 0.619)
Ag (0.333, 0.667, 0.079)
Ag (0.333, 0.667, 0.285)
Ag (0.667, 0.333, 0.746)
Ag (0.667, 0.333, 0.952)
Sn (0.000, 0.000, 0.194)
Sn (0.333, 0.667, 0.861)
Sn (0.667, 0.333, 0.527)

As for the polymorph energy (0 for the lowest one): 40 meV/atom. The volume is 21.4 Å³ per atom. The magnetization is 0.0 μB per formula unit. For the total energy, the calculation gives -3.116 eV/atom. The space-group type is R3m.

---

Entry 9:
An optimized crystal structure of Ga2Ag8Sn. Source: the Alexandria database, functional GGA-PBE.

a b c (Å): 7.812 7.812 4.490
angles (deg): 105.88 105.88 51.86
Fractional positions:
Ga (0.154, 0.154, 0.153)
Ga (0.846, 0.846, 0.847)
Ag (0.012, 0.599, 0.308)
Ag (0.022, 0.978, 0.500)
Ag (0.297, 0.422, 0.861)
Ag (0.401, 0.988, 0.692)
Ag (0.573, 0.097, 0.331)
Ag (0.578, 0.703, 0.139)
Ag (0.750, 0.250, 0.000)
Ag (0.903, 0.427, 0.669)
Sn (0.444, 0.556, 0.500)

As for the polymorph energy (0 for the lowest one): 0 meV/atom. The volume is 18.7 Å³ per atom. The magnetization is 0.0 μB per formula unit. For the total energy, the calculation gives -2.970 eV/atom. The space-group type is C2.

---

Entry 10:
An optimized crystal structure of Ga3AgSn. Source: the Alexandria database, functional GGA-PBE.

a b c (Å): 5.008 5.008 5.008
angles (deg): 90.00 90.00 90.00
Fractional positions:
Ga (0.000, 0.000, 0.500)
Ga (0.000, 0.500, 0.000)
Ga (0.500, 0.000, 0.000)
Ag (0.000, 0.000, 0.000)
Sn (0.500, 0.500, 0.500)

As for the polymorph energy (0 for the lowest one): 258 meV/atom. The volume is 25.1 Å³ per atom. The magnetization is 0.0 μB per formula unit. For the total energy, the calculation gives -2.867 eV/atom. The space-group type is Pm-3m.

---

- What is the formula in the fourth record?
  Ga2AgSn

---

What did the seventh record say?
An optimized crystal structure of Ga2AgSn. Source: the Alexandria database, functional GGA-PBE.

a b c (Å): 4.521 4.521 14.541
angles (deg): 90.00 90.00 120.00
Fractional positions:
Ga (0.000, 0.000, 0.232)
Ga (0.000, 0.000, 0.768)
Ga (0.333, 0.667, 0.434)
Ga (0.333, 0.667, 0.899)
Ga (0.667, 0.333, 0.101)
Ga (0.667, 0.333, 0.566)
Ag (0.000, 0.000, 0.500)
Ag (0.333, 0.667, 0.167)
Ag (0.667, 0.333, 0.833)
Sn (0.000, 0.000, 0.000)
Sn (0.333, 0.667, 0.667)
Sn (0.667, 0.333, 0.333)

The volume is 21.5 Å³ per atom. The magnetization is 0.0 μB per formula unit. For the total energy, the calculation gives -3.129 eV/atom. The space-group type is R-3m.